A plane-wave DFT calculation with PBE-GGA was carried out for a relaxed HfCd3F crystal.

Cell: 5.7699 5.7699 5.7699 Å, 90.00 90.00 90.00°
Space group Pm-3m (No. 221)
Asymmetric unit:
Hf 0.0000 0.0000 0.0000 [1 per cell]
Cd 0.0000 0.0000 0.5000 [3 per cell]
F 0.5000 0.5000 0.5000 [1 per cell]

The calculation puts the total DFT energy (no corrections) at -2.343 eV per atom.



A plane-wave DFT calculation with PBE-GGA was carried out for a relaxed Hf3CdF crystal.

Cell: 4.5518 4.5518 4.5518 Å, 90.00 90.00 90.00°
Space group Pm-3m (No. 221)
Asymmetric unit:
Hf 0.0000 0.0000 0.5000 [3 per cell]
Cd 0.5000 0.5000 0.5000 [1 per cell]
F 0.0000 0.0000 0.0000 [1 per cell]

The calculation puts the total DFT energy (no corrections) at -6.877 eV per atom.



A plane-wave DFT calculation with PBE-GGA was carried out for a relaxed HfCdF2 crystal.

Cell: 4.6341 4.6341 13.9429 Å, 90.00 90.00 90.00°
Space group I-42d (No. 122)
Asymmetric unit:
Hf 0.0000 0.0000 0.0000 [4 per cell]
Cd 0.0000 0.0000 0.5000 [4 per cell]
F 0.0151 0.2500 0.1250 [8 per cell]

The calculation puts the total DFT energy (no corrections) at -5.416 eV per atom.



A plane-wave DFT calculation with PBE-GGA was carried out for a relaxed Hf2CdF11 crystal.

Cell: 7.8250 10.0430 10.7631 Å, 90.00 90.00 90.00°
Space group Ibam (No. 72)
Asymmetric unit:
Hf 0.1367 0.1813 0.0000 [8 per cell]
Cd 0.0000 0.5000 0.2500 [4 per cell]
F 0.0000 0.0000 0.0000 [4 per cell]
F 0.1054 0.3176 0.1369 [16 per cell]
F 0.1263 0.2189 0.5000 [8 per cell]
F 0.2385 0.4218 0.3674 [16 per cell]

The calculation puts the total DFT energy (no corrections) at -6.101 eV per atom.



A plane-wave DFT calculation with PBE-GGA was carried out for a relaxed HfCdF crystal.

Cell: 14.0849 3.0469 5.2776 Å, 90.00 90.00 90.00°
Space group Amm2 (No. 38)
Asymmetric unit:
Hf 0.1857 0.0000 0.0000 [4 per cell]
Cd 0.0000 0.0000 0.3332 [2 per cell]
Cd 0.5000 0.0000 0.3369 [2 per cell]
F 0.2920 0.0000 0.3333 [4 per cell]

The calculation puts the total DFT energy (no corrections) at -5.555 eV per atom.



A plane-wave DFT calculation with PBE-GGA was carried out for a relaxed HfCdF2 crystal.

Cell: 2.9451 2.9451 27.5905 Å, 90.00 90.00 120.00°
Space group R-3m (No. 166, hexagonal axes)
Asymmetric unit:
Hf 0.0000 0.0000 0.0000 [3 per cell]
Cd 0.0000 0.0000 0.5000 [3 per cell]
F 0.0000 0.0000 0.3894 [6 per cell]

The calculation puts the total DFT energy (no corrections) at -5.575 eV per atom.